# 1
Here is crystalline Lu2HfAs at its relaxed geometry from OQMD via LeMat-Bulk. Energies are from PBE.

Calculated values
- total magnetic moment (μB per formula unit) = 0.10
- space group = No. 216
- electronic total energy (eV per atom) = -5.89

abc: 5.0288 5.0288 5.0288
angles: 60.00 60.00 60.00
Fractional positions:
Hf 0.2500 0.2500 0.2500
Lu 0.7500 0.7500 0.7500
Lu 0.0000 0.0000 0.0000
As 0.5000 0.5000 0.5000



# 2
Here is crystalline LuHfAs at its relaxed geometry from OQMD via LeMat-Bulk. Energies are from PBE.

Calculated values
- total magnetic moment (μB per formula unit) = 0.61
- space group = No. 216
- electronic total energy (eV per atom) = -6.76

abc: 4.5781 4.5781 4.5781
angles: 60.00 60.00 60.00
Fractional positions:
As 0.0000 0.0000 0.0000
Hf 0.2500 0.2500 0.2500
Lu 0.7500 0.7500 0.7500



# 3
Here is crystalline Lu4Hf2As3N3 at its relaxed geometry from OQMD via LeMat-Bulk. Energies are from PBE.

Calculated values
- total magnetic moment (μB per formula unit) = 0.00
- space group = No. 15
- electronic total energy (eV per atom) = -7.76

abc: 6.1075 6.1075 12.9776
angles: 103.62 103.62 60.12
Fractional positions:
As 0.7366 0.5832 0.2490
As 0.5832 0.7366 0.7490
As 0.4168 0.2634 0.2510
As 0.9035 0.0965 0.7500
As 0.0965 0.9035 0.2500
As 0.2634 0.4168 0.7510
N 0.8134 0.3433 0.5000
N 0.5000 0.0000 0.5000
N 0.0000 0.5000 0.0000
N 0.3433 0.8134 0.0000
N 0.6567 0.1866 0.0000
N 0.1866 0.6567 0.5000
Hf 0.4675 0.6362 0.4033
Hf 0.3638 0.5325 0.0967
Hf 0.5325 0.3638 0.5967
Hf 0.6362 0.4675 0.9033
Lu 0.8007 0.9630 0.3968
Lu 0.9630 0.8007 0.8968
Lu 0.1291 0.2991 0.3969
Lu 0.1993 0.0370 0.6032
Lu 0.2991 0.1291 0.8969
Lu 0.0370 0.1993 0.1032
Lu 0.7009 0.8709 0.1031
Lu 0.8709 0.7009 0.6031



# 4
Here is crystalline Lu2Hf4As3N3 at its relaxed geometry from OQMD via LeMat-Bulk. Energies are from PBE.

Calculated values
- total magnetic moment (μB per formula unit) = 0.00
- space group = No. 15
- electronic total energy (eV per atom) = -8.63

abc: 5.9641 5.9641 12.8906
angles: 103.37 103.37 60.03
Fractional positions:
N 0.6708 0.1583 0.5000
N 0.8417 0.3292 0.0000
N 0.3292 0.8417 0.5000
N 0.5000 0.0000 0.0000
N 0.1583 0.6708 0.0000
N 0.0000 0.5000 0.5000
As 0.5839 0.7615 0.2508
As 0.7615 0.5839 0.7508
As 0.0715 0.9285 0.7500
As 0.2385 0.4161 0.2492
As 0.4161 0.2385 0.7492
As 0.9285 0.0715 0.2500
Lu 0.4658 0.6301 0.8980
Lu 0.3699 0.5342 0.6020
Lu 0.5342 0.3699 0.1020
Lu 0.6301 0.4658 0.3980
Hf 0.6986 0.8637 0.5961
Hf 0.7991 0.9697 0.9040
Hf 0.2009 0.0303 0.0960
Hf 0.9697 0.7991 0.4040
Hf 0.1363 0.3014 0.9039
Hf 0.0303 0.2009 0.5960
Hf 0.8637 0.6986 0.0961
Hf 0.3014 0.1363 0.4039



# 5
Here is crystalline HfMgAs2 at its relaxed geometry from OQMD via LeMat-Bulk. Energies are from PBE.

Calculated values
- total magnetic moment (μB per formula unit) = 0.00
- space group = No. 216
- electronic total energy (eV per atom) = -5.08

abc: 4.7924 4.7924 4.7924
angles: 60.00 60.00 60.00
Fractional positions:
Hf 0.2500 0.2500 0.2500
As 0.0000 0.0000 0.0000
As 0.7500 0.7500 0.7500
Mg 0.5000 0.5000 0.5000



# 6
Here is crystalline HfMg2As at its relaxed geometry from OQMD via LeMat-Bulk. Energies are from PBE.

Calculated values
- total magnetic moment (μB per formula unit) = 0.00
- space group = No. 216
- electronic total energy (eV per atom) = -4.35

abc: 4.8472 4.8472 4.8472
angles: 60.00 60.00 60.00
Fractional positions:
Hf 0.2500 0.2500 0.2500
As 0.5000 0.5000 0.5000
Mg 0.7500 0.7500 0.7500
Mg 0.0000 0.0000 0.0000



# 7
Here is crystalline HfMgTcAs at its relaxed geometry from OQMD via LeMat-Bulk. Energies are from PBE.

Calculated values
- polymorph energy (0 for the lowest one) (eV/f.u.) = 0.50
- total magnetic moment (μB per formula unit) = 0.00
- space group = No. 216
- electronic total energy (eV per atom) = -6.59

abc: 4.5683 4.5683 4.5683
angles: 60.00 60.00 60.00
Fractional positions:
Mg 0.7500 0.7500 0.7500
Hf 0.0000 0.0000 0.0000
Tc 0.5000 0.5000 0.5000
As 0.2500 0.2500 0.2500



# 8
Here is crystalline HfMgTcAs at its relaxed geometry from OQMD via LeMat-Bulk. Energies are from PBE.

Calculated values
- polymorph energy (0 for the lowest one) (eV/f.u.) = 0.00
- total magnetic moment (μB per formula unit) = 0.00
- space group = No. 216
- electronic total energy (eV per atom) = -6.72

abc: 4.5416 4.5416 4.5416
angles: 60.00 60.00 60.00
Fractional positions:
Mg 0.7500 0.7500 0.7500
As 0.5000 0.5000 0.5000
Hf 0.0000 0.0000 0.0000
Tc 0.2500 0.2500 0.2500



# 9
Here is crystalline HfMgTcAs at its relaxed geometry from OQMD via LeMat-Bulk. Energies are from PBE.

Calculated values
- polymorph energy (0 for the lowest one) (eV/f.u.) = 0.08
- total magnetic moment (μB per formula unit) = 0.01
- space group = No. 216
- electronic total energy (eV per atom) = -6.70

abc: 4.5998 4.5998 4.5998
angles: 60.00 60.00 60.00
Fractional positions:
Tc 0.5000 0.5000 0.5000
As 0.0000 0.0000 0.0000
Mg 0.7500 0.7500 0.7500
Hf 0.2500 0.2500 0.2500



# 10
Here is crystalline Hf9Mo4As at its relaxed geometry from OQMD via LeMat-Bulk. Energies are from PBE.

Calculated values
- total magnetic moment (μB per formula unit) = 0.00
- space group = No. 194
- electronic total energy (eV per atom) = -10.10

abc: 8.6715 8.6719 8.6628
angles: 90.00 90.00 120.00
Fractional positions:
Hf 0.6080 0.8040 0.0441
Hf 0.8040 0.1960 0.9559
Hf 0.1960 0.3920 0.0441
Hf 0.5400 0.0799 0.2500
Hf 0.4600 0.5400 0.7500
Hf 0.8040 0.6080 0.9559
Hf 0.0799 0.5400 0.7500
Hf 0.4600 0.9201 0.7500
Hf 0.3920 0.1960 0.5441
Hf 0.8040 0.1960 0.5441
Hf 0.1960 0.3920 0.4559
Hf 0.9201 0.4600 0.2500
Hf 0.1960 0.8040 0.0441
Hf 0.8040 0.6080 0.5441
Hf 0.3920 0.1960 0.9559
Hf 0.5400 0.4600 0.2500
Hf 0.1960 0.8040 0.4559
Hf 0.6080 0.8040 0.4559
Mo 0.0000 0.0000 0.5000
Mo 0.2202 0.1101 0.2500
Mo 0.8899 0.7798 0.2500
Mo 0.8899 0.1101 0.2500
Mo 0.1101 0.2202 0.7500
Mo 0.7798 0.8899 0.7500
Mo 0.1101 0.8899 0.7500
Mo 0.0000 0.0000 0.0000
As 0.3333 0.6666 0.2500
As 0.6667 0.3334 0.7500



# 11
Here is crystalline Hf2Mo4As3N3 at its relaxed geometry from OQMD via LeMat-Bulk. Energies are from PBE.

Calculated values
- total magnetic moment (μB per formula unit) = 0.01
- space group = No. 15
- electronic total energy (eV per atom) = -9.05

abc: 5.6648 5.6648 12.4971
angles: 103.14 103.14 60.29
Fractional positions:
Mo 0.8268 0.9411 0.9123
Mo 0.1102 0.3046 0.9103
Mo 0.1732 0.0589 0.0877
Mo 0.8898 0.6954 0.0897
Mo 0.9411 0.8268 0.4123
Mo 0.0589 0.1732 0.5877
Mo 0.3046 0.1102 0.4103
Mo 0.6954 0.8898 0.5897
Hf 0.5315 0.3488 0.0992
Hf 0.3488 0.5315 0.5992
Hf 0.4685 0.6512 0.9008
Hf 0.6512 0.4685 0.4008
As 0.0571 0.9429 0.7500
As 0.4209 0.2221 0.7524
As 0.7779 0.5791 0.7476
As 0.2221 0.4209 0.2524
As 0.5791 0.7779 0.2476
As 0.9429 0.0571 0.2500
N 0.0000 0.5000 0.5000
N 0.6536 0.1942 0.5006
N 0.8058 0.3464 0.9994
N 0.5000 0.0000 0.0000
N 0.3464 0.8058 0.4994
N 0.1942 0.6536 0.0006



# 12
Here is crystalline Hf4Mo2As3N3 at its relaxed geometry from OQMD via LeMat-Bulk. Energies are from PBE.

Calculated values
- total magnetic moment (μB per formula unit) = 0.00
- space group = No. 15
- electronic total energy (eV per atom) = -9.31

abc: 5.8066 5.8066 12.4442
angles: 103.29 103.29 59.96
Fractional positions:
N 0.6800 0.1383 0.9998
N 0.3200 0.8617 0.0002
N 0.0000 0.5000 0.0000
N 0.1383 0.6800 0.4998
N 0.5000 0.0000 0.5000
N 0.8617 0.3200 0.5002
Hf 0.8497 0.7002 0.5970
Hf 0.2129 0.0167 0.5969
Hf 0.2998 0.1503 0.9030
Hf 0.7002 0.8497 0.0970
Hf 0.1503 0.2998 0.4030
Hf 0.9833 0.7871 0.9031
Hf 0.0167 0.2129 0.0969
Hf 0.7871 0.9833 0.4031
Mo 0.3799 0.5291 0.0888
Mo 0.5291 0.3799 0.5888
Mo 0.4709 0.6201 0.4112
Mo 0.6201 0.4709 0.9112
As 0.8933 0.1067 0.7500
As 0.1067 0.8933 0.2500
As 0.4163 0.2711 0.2466
As 0.5837 0.7289 0.7534
As 0.2711 0.4163 0.7466
As 0.7289 0.5837 0.2534



Calculated calculated density (g/cm3), listed in the same order as above: 11.14 10.48 10.88 11.55 7.52 6.23 9.25 9.42 9.07 12.16 9.96 11.12